[1]
# Na2As2Au

A relaxed Na2As2Au crystal (PBE, Alexandria via LeMat-Bulk).

a = 4.158 Å, b = 6.754 Å, c = 6.754 Å
α = 37.97°, β = 90.00°, γ = 90.00°
Atoms (fractional coordinates):
Na  0.000  0.000  0.000
Na  0.000  0.239  0.239
As  0.500  0.625  0.625
As  0.500  0.815  0.815
Au  0.500  0.420  0.420

Results
The value obtained for the density of states at the Fermi level is 1.35 states/eV/cell. For the energy above the most stable polymorph in this dataset, the calculation gives 114 meV/atom. As for the total energy: -3.2898 eV per atom. The energy of formation from the pure elements comes out at -0.25 eV per atom.

***

[2]
# Na2AsAu2

A relaxed Na2AsAu2 crystal (PBE, Alexandria via LeMat-Bulk).

a = 6.905 Å, b = 6.905 Å, c = 4.734 Å
α = 90.00°, β = 90.00°, γ = 90.00°
Atoms (fractional coordinates):
Na  0.170  0.330  0.000
Na  0.330  0.830  0.000
Na  0.670  0.170  0.000
Na  0.830  0.670  0.000
As  0.000  0.000  0.500
As  0.500  0.500  0.500
Au  0.145  0.645  0.500
Au  0.355  0.145  0.500
Au  0.645  0.855  0.500
Au  0.855  0.355  0.500

Results
The value obtained for the density of states at the Fermi level is 2.91 states/eV/cell. For the energy above the most stable polymorph in this dataset, the calculation gives 93 meV/atom. As for the total energy: -3.0152 eV per atom. The energy of formation from the pure elements comes out at -0.25 eV per atom.

***

[3]
# NaAs2Au2

A relaxed NaAs2Au2 crystal (PBE, Alexandria via LeMat-Bulk).

a = 7.933 Å, b = 7.933 Å, c = 3.219 Å
α = 90.00°, β = 90.00°, γ = 90.00°
Atoms (fractional coordinates):
Na  0.000  0.000  0.000
Na  0.500  0.500  0.000
As  0.170  0.330  0.500
As  0.330  0.830  0.500
As  0.670  0.170  0.500
As  0.830  0.670  0.500
Au  0.133  0.633  0.000
Au  0.367  0.133  0.000
Au  0.633  0.867  0.000
Au  0.867  0.367  0.000

Results
The value obtained for the density of states at the Fermi level is 4.59 states/eV/cell. For the energy above the most stable polymorph in this dataset, the calculation gives 147 meV/atom. As for the total energy: -3.4354 eV per atom. The energy of formation from the pure elements comes out at 0.00 eV per atom.

***

[4]
# NaAsAu2

A relaxed NaAsAu2 crystal (PBE, Alexandria via LeMat-Bulk).

a = 5.646 Å, b = 5.646 Å, c = 5.646 Å
α = 48.17°, β = 48.17°, γ = 48.17°
Atoms (fractional coordinates):
Na  0.000  0.000  0.000
As  0.500  0.500  0.500
Au  0.206  0.206  0.206
Au  0.794  0.794  0.794

Results
The value obtained for the density of states at the Fermi level is 0.74 states/eV/cell. As for the total energy: -3.2401 eV per atom. The energy of formation from the pure elements comes out at -0.11 eV per atom.

***

[5]
# Na5As3Au3

A relaxed Na5As3Au3 crystal (PBE, Alexandria via LeMat-Bulk).

a = 9.131 Å, b = 9.131 Å, c = 4.649 Å
α = 90.00°, β = 90.00°, γ = 120.00°
Atoms (fractional coordinates):
Na  0.000  0.749  0.000
Na  0.251  0.251  0.000
Na  0.333  0.667  0.000
Na  0.667  0.333  0.000
Na  0.749  0.000  0.000
As  0.000  0.377  0.000
As  0.377  0.000  0.000
As  0.623  0.623  0.000
Au  0.000  0.296  0.500
Au  0.296  0.000  0.500
Au  0.704  0.704  0.500

Results
The value obtained for the density of states at the Fermi level is 5.88 states/eV/cell. As for the total energy: -3.0584 eV per atom. The energy of formation from the pure elements comes out at -0.30 eV per atom.

***

[6]
# NaAsAu

A relaxed NaAsAu crystal (PBE, Alexandria via LeMat-Bulk).

a = 4.355 Å, b = 4.355 Å, c = 8.625 Å
α = 90.00°, β = 90.00°, γ = 119.86°
Atoms (fractional coordinates):
Na  0.000  0.000  0.000
Na  0.000  0.000  0.500
As  0.333  0.667  0.750
As  0.667  0.333  0.250
Au  0.333  0.667  0.250
Au  0.667  0.333  0.750

Results
The value obtained for the density of states at the Fermi level is 4.00 states/eV/cell. As for the total energy: -3.3736 eV per atom. The energy of formation from the pure elements comes out at -0.29 eV per atom.

***

[7]
# NaNpAsAu

A relaxed NaNpAsAu crystal (PBE, Alexandria via LeMat-Bulk).

a = 4.999 Å, b = 4.999 Å, c = 4.999 Å
α = 60.00°, β = 60.00°, γ = 60.00°
Atoms (fractional coordinates):
Na  0.000  0.000  0.000
Np  0.500  0.500  0.500
As  0.250  0.250  0.250
Au  0.750  0.750  0.750

Results
The value obtained for the density of states at the Fermi level is 8.81 states/eV/cell. As for the total energy: -5.8627 eV per atom. The energy of formation from the pure elements comes out at -0.32 eV per atom.

***

[8]
# NaAsAu2O6

A relaxed NaAsAu2O6 crystal (PBE, Alexandria via LeMat-Bulk).

a = 6.853 Å, b = 6.853 Å, c = 7.600 Å
α = 97.89°, β = 97.89°, γ = 98.19°
Atoms (fractional coordinates):
Na  0.195  0.805  0.750
Na  0.805  0.195  0.250
As  0.122  0.878  0.250
As  0.878  0.122  0.750
Au  0.346  0.380  0.840
Au  0.380  0.346  0.340
Au  0.620  0.654  0.660
Au  0.654  0.620  0.160
O  0.132  0.146  0.259
O  0.146  0.132  0.759
O  0.186  0.772  0.058
O  0.228  0.814  0.442
O  0.342  0.464  0.594
O  0.464  0.342  0.094
O  0.536  0.658  0.906
O  0.658  0.536  0.406
O  0.772  0.186  0.558
O  0.814  0.228  0.942
O  0.854  0.868  0.241
O  0.868  0.854  0.741

Results
The value obtained for the density of states at the Fermi level is 2.67 states/eV/cell. For the uncorrected formation energy, the calculation gives -615 meV per atom. As for the total energy: -4.8420 eV per atom.